DFT (PBE+U) results for crystalline NaMn2BiO6 at its relaxed geometry.

Unit cell a=5.4442 b=5.4442 c=13.3736 alpha=90.00 beta=90.00 gamma=120.00
Space group R3 (No. 146, hexagonal axes)
One atom of each set of equivalent atoms:
Na (0.0000, 0.0000, 0.0000) x3
Mn (0.0000, 0.0000, 0.2392) x3
Mn (0.0000, 0.0000, 0.7397) x3
Bi (0.0000, 0.0000, 0.5133) x3
O (0.0882, 0.3365, 0.8172) x9
O (0.1006, 0.7509, 0.3117) x9

Values from the calculation:
Energy ... -6.333 eV per atom
DOS(E_F) ... 2.37 states/eV/cell